1.
Material: CsNaHg2Pd
Method: DFT, GGA-PBE
State: relaxed

Computed properties:
- Energy above the lowest structure with this stoichiometry: 0.1942 eV per atom
- Formation enthalpy at 0 K: -0.6 kcal/mol of atoms

abc: 5.4448 5.4448 6.2219
angles: 90.00 90.00 90.00
Fractional positions:
Cs1 0.0000 0.0000 0.5000
Na1 0.5000 0.5000 0.5000
Hg1 0.0000 0.5000 0.0000
Hg2 0.5000 0.0000 0.0000
Pd1 0.0000 0.0000 0.0000

---

2.
Material: Cs2NaHg7Pd2
Method: DFT, GGA-PBE
State: relaxed

Computed properties:
- Formation enthalpy at 0 K: -4.7 kcal/mol of atoms

abc: 5.3833 5.3833 14.8536
angles: 80.18 80.18 89.97
Fractional positions:
Cs1 0.8233 0.8233 0.3511
Cs2 0.1767 0.1767 0.6489
Na1 0.0000 0.0000 0.0000
Hg1 0.5000 0.5000 0.0000
Hg2 0.3094 0.3094 0.3799
Hg3 0.6906 0.6906 0.6201
Hg4 0.9081 0.4109 0.1643
Hg5 0.4109 0.9081 0.1643
Hg6 0.5891 0.0919 0.8357
Hg7 0.0919 0.5891 0.8357
Pd1 0.6032 0.6032 0.8125
Pd2 0.3968 0.3968 0.1875

---

Record-wise size of the total moment values, in μB per atom: 0.000; 0.000